This record from Alexandria describes a PBEsol-optimized structure of ZrTe3O8. The functional is SCAN.

## Properties
energy relative to the elements, uncorrected	-1.788	eV per atom
crystal system	cubic

CIF file:
```
data_ZrTe3O8
_chemical_formula_sum 'Zr8 Te24 O64'
_symmetry_space_group_name_H-M 'I a -3'
_symmetry_Int_Tables_number 206
_symmetry_space_group_name_Hall '-I 2b 2c 3'
_cell_length_a 11.213
_cell_length_b 11.213
_cell_length_c 11.213
_cell_angle_alpha 90.00
_cell_angle_beta 90.00
_cell_angle_gamma 90.00
loop_
_atom_site_label
_atom_site_type_symbol
_atom_site_fract_x
_atom_site_fract_y
_atom_site_fract_z
_atom_site_occupancy
Zr1 Zr 0.250 0.250 0.250 1
Te1 Te 0.000 0.250 0.038 1
O1 O 0.082 0.082 0.082 1
O2 O 0.114 0.183 0.644 1
```